Record 1
First-principles (PBE) data for crystalline Sc4Sb3H2 at its relaxed geometry, as listed in the Alexandria database. Values from VASP.

Results
- Uncorrected energy: -5.645 eV/atom
- Total moment: 0.00 Bohr magnetons per cell

Cell and atoms, written as Quantum ESPRESSO input:
```
&SYSTEM
  ibrav = 0, nat = 18, ntyp = 3
/
ATOMIC_SPECIES
Sc 44.96 Sc.upf
Sb 121.76 Sb.upf
H 1.01 H.upf
ATOMIC_POSITIONS angstrom
Sc 3.558 2.882 5.932
Sc 3.445 0.577 2.337
Sc 6.846 2.882 3.254
Sc 2.853 -0.577 5.399
Sc 8.143 0.577 0.725
Sc 4.150 -2.882 2.870
Sc 7.552 -0.577 3.787
Sc 7.438 -2.882 0.192
Sb 0.904 1.176 3.486
Sb 1.496 -1.176 0.424
Sb 5.202 0.869 4.593
Sb 5.794 -0.869 1.531
Sb 9.500 1.176 5.700
Sb 10.092 -1.176 2.638
H 3.469 1.257 0.348
H 2.877 -1.257 3.410
H 8.119 1.257 2.714
H 7.527 -1.257 5.776
CELL_PARAMETERS angstrom
6.090 -4.695 0.000
6.090 4.695 0.000
-1.184 0.000 6.124
```

Record 2
First-principles (PBE) data for crystalline Ba2TlVHg at its relaxed geometry, as listed in the Alexandria database. Values from VASP.

Results
- Total moment: 0.17 Bohr magnetons per cell
- Energy relative to the elements: 52 kJ/mol of atoms

Cell and atoms, written as Quantum ESPRESSO input:
```
&SYSTEM
  ibrav = 0, nat = 5, ntyp = 4
/
ATOMIC_SPECIES
Ba 137.33 Ba.upf
Tl 204.38 Tl.upf
V 50.94 V.upf
Hg 200.59 Hg.upf
ATOMIC_POSITIONS angstrom
Ba 0.000 3.268 0.000
Ba 3.268 0.000 0.000
Tl 0.000 0.000 2.512
V 3.268 3.268 2.512
Hg 3.268 3.268 0.000
CELL_PARAMETERS angstrom
6.537 0.000 0.000
0.000 6.537 0.000
0.000 0.000 5.024
```

Record 3
First-principles (PBE) data for crystalline La6Ir2Br3N at its relaxed geometry, as listed in the Alexandria database. Values from VASP.

Results
- Total moment: 0.00 Bohr magnetons per cell
- Formation energy from raw total energies: -1461 kJ/mol of formula units

Cell and atoms, written as Quantum ESPRESSO input:
```
&SYSTEM
  ibrav = 0, nat = 12, ntyp = 4
/
ATOMIC_SPECIES
La 138.91 La.upf
Ir 192.22 Ir.upf
Br 79.90 Br.upf
N 14.01 N.upf
ATOMIC_POSITIONS angstrom
La 1.116 1.926 1.483
La -0.136 0.000 6.370
La 1.116 -1.926 1.483
La 3.615 1.926 6.371
La 4.867 0.000 1.485
La 3.615 -1.926 6.371
Ir 3.545 2.045 0.000
Ir 3.545 -2.045 0.000
Br 2.365 4.067 3.927
Br 2.365 0.000 3.927
Br 2.365 -4.067 3.927
N 0.000 0.000 0.000
CELL_PARAMETERS angstrom
3.545 -6.135 0.000
3.545 6.135 0.000
-2.359 0.000 7.854
```

Record 4
First-principles (PBE) data for crystalline NpGaTcPt at its relaxed geometry, as listed in the Alexandria database. Values from VASP.

Results
- Total moment: 3.01 Bohr magnetons per cell
- Energy relative to the elements: -22 kJ/mol of atoms

Cell and atoms, written as Quantum ESPRESSO input:
```
&SYSTEM
  ibrav = 0, nat = 4, ntyp = 4
/
ATOMIC_SPECIES
Np 237.00 Np.upf
Ga 69.72 Ga.upf
Tc 98.00 Tc.upf
Pt 195.08 Pt.upf
ATOMIC_POSITIONS angstrom
Np 0.000 0.000 0.000
Ga 3.274 3.274 3.274
Tc 1.637 1.637 1.637
Pt 4.910 4.910 4.910
CELL_PARAMETERS angstrom
0.000 3.274 3.274
3.274 0.000 3.274
3.274 3.274 0.000
```

Record 5
First-principles (PBE) data for crystalline Mg3NiAu4 at its relaxed geometry, as listed in the Alexandria database. Values from VASP.

Results
- Total moment: 0.00 Bohr magnetons per cell
- Energy relative to the elements: -42 kJ/mol of atoms

Cell and atoms, written as Quantum ESPRESSO input:
```
&SYSTEM
  ibrav = 0, nat = 8, ntyp = 3
/
ATOMIC_SPECIES
Mg 24.30 Mg.upf
Ni 58.69 Ni.upf
Au 196.97 Au.upf
ATOMIC_POSITIONS angstrom
Mg 0.000 0.000 0.000
Mg 0.000 0.000 3.228
Mg 0.000 0.000 8.997
Ni 0.000 0.000 6.112
Au 1.672 1.672 1.598
Au 1.672 1.672 4.716
Au 1.672 1.672 7.509
Au 1.672 1.672 10.627
CELL_PARAMETERS angstrom
3.343 0.000 0.000
0.000 3.343 0.000
0.000 0.000 12.225
```

Record 6
First-principles (PBE) data for crystalline HfTlCo2 at its relaxed geometry, as listed in the Alexandria database. Values from VASP.

Results
- Total moment: 1.07 Bohr magnetons per cell
- Energy relative to the elements: -3 kJ/mol of atoms

Cell and atoms, written as Quantum ESPRESSO input:
```
&SYSTEM
  ibrav = 0, nat = 4, ntyp = 3
/
ATOMIC_SPECIES
Hf 178.49 Hf.upf
Tl 204.38 Tl.upf
Co 58.93 Co.upf
ATOMIC_POSITIONS angstrom
Hf 0.000 0.000 0.000
Tl 3.145 3.145 3.145
Co 1.572 1.572 1.572
Co 4.717 4.717 4.717
CELL_PARAMETERS angstrom
0.000 3.145 3.145
3.145 0.000 3.145
3.145 3.145 0.000
```

Record 7
First-principles (PBE) data for crystalline SiSnW3 at its relaxed geometry, as listed in the Alexandria database. Values from VASP.

Results
- Total moment: 0.00 Bohr magnetons per cell
- Formation energy from raw total energies: 584 kJ/mol of formula units

Cell and atoms, written as Quantum ESPRESSO input:
```
&SYSTEM
  ibrav = 0, nat = 5, ntyp = 3
/
ATOMIC_SPECIES
Si 28.09 Si.upf
Sn 118.71 Sn.upf
W 183.84 W.upf
ATOMIC_POSITIONS angstrom
Si 0.000 0.000 0.000
Sn 2.270 2.270 2.270
W 0.000 0.000 2.270
W 0.000 2.270 0.000
W 2.270 0.000 0.000
CELL_PARAMETERS angstrom
4.540 0.000 0.000
0.000 4.540 0.000
0.000 0.000 4.540
```

Record 8
First-principles (PBE) data for crystalline BaLaMn4 at its relaxed geometry, as listed in the Alexandria database. Values from VASP.

Results
- Total moment: 12.83 Bohr magnetons per cell
- Energy relative to the elements: 56 kJ/mol of atoms

Cell and atoms, written as Quantum ESPRESSO input:
```
&SYSTEM
  ibrav = 0, nat = 6, ntyp = 3
/
ATOMIC_SPECIES
Ba 137.33 Ba.upf
La 138.91 La.upf
Mn 54.94 Mn.upf
ATOMIC_POSITIONS angstrom
Ba 0.000 0.000 0.000
La 6.034 6.034 6.034
Mn 3.062 3.062 3.062
Mn 4.983 4.983 3.062
Mn 4.983 3.062 4.983
Mn 3.062 4.983 4.983
CELL_PARAMETERS angstrom
0.000 4.022 4.022
4.022 0.000 4.022
4.022 4.022 0.000
```

Record 9
First-principles (PBE) data for crystalline Sm2Ga4Cu3Ni at its relaxed geometry, as listed in the Alexandria database. Values from VASP.

Results
- Total moment: 0.00 Bohr magnetons per cell
- Energy relative to the elements: -45 kJ/mol of atoms

Cell and atoms, written as Quantum ESPRESSO input:
```
&SYSTEM
  ibrav = 0, nat = 10, ntyp = 4
/
ATOMIC_SPECIES
Sm 150.36 Sm.upf
Ga 69.72 Ga.upf
Cu 63.55 Cu.upf
Ni 58.69 Ni.upf
ATOMIC_POSITIONS angstrom
Sm 0.000 2.084 2.455
Sm 2.084 0.000 7.650
Ga 0.000 0.000 5.053
Ga 0.000 2.084 8.858
Ga 2.084 0.000 1.247
Ga 2.084 2.084 5.053
Cu 0.000 0.000 0.000
Cu 0.000 2.084 6.426
Cu 2.084 0.000 3.679
Ni 2.084 2.084 0.000
CELL_PARAMETERS angstrom
4.167 0.000 0.000
0.000 4.167 0.000
0.000 0.000 10.105
```

Record 10
First-principles (PBE) data for crystalline NiRh3 at its relaxed geometry, as listed in the Alexandria database. Values from VASP.

Results
- Total moment: 0.69 Bohr magnetons per cell
- Energy relative to the elements: 3 kJ/mol of atoms

Cell and atoms, written as Quantum ESPRESSO input:
```
&SYSTEM
  ibrav = 0, nat = 4, ntyp = 2
/
ATOMIC_SPECIES
Ni 58.69 Ni.upf
Rh 102.91 Rh.upf
ATOMIC_POSITIONS angstrom
Ni 0.000 0.000 0.000
Rh -0.005 0.000 2.673
Rh 1.342 1.876 1.303
Rh 1.342 1.876 4.043
CELL_PARAMETERS angstrom
2.693 0.000 0.000
0.000 3.753 0.000
-0.009 0.000 5.346
```

Record 11
First-principles (PBE) data for crystalline Y8Ho2Er at its relaxed geometry, as listed in the Alexandria database. Values from VASP.

Results
- Total moment: 0.00 Bohr magnetons per cell
- Energy relative to the elements: 27 kJ/mol of atoms

Cell and atoms, written as Quantum ESPRESSO input:
```
&SYSTEM
  ibrav = 0, nat = 11, ntyp = 3
/
ATOMIC_SPECIES
Y 88.91 Y.upf
Ho 164.93 Ho.upf
Er 167.26 Er.upf
ATOMIC_POSITIONS angstrom
Y -2.271 0.000 6.215
Y 2.760 1.689 4.309
Y 6.483 1.689 3.420
Y 0.786 0.000 6.661
Y 8.458 0.000 1.068
Y 2.760 -1.689 4.309
Y 6.483 -1.689 3.420
Y 11.515 0.000 1.514
Ho 3.572 0.000 1.563
Ho 5.671 0.000 6.166
Er 0.000 0.000 0.000
CELL_PARAMETERS angstrom
7.146 -3.294 0.000
7.146 3.294 0.000
-5.048 0.000 7.729
```

Record 12
First-principles (PBE) data for crystalline Cr2CuNi6 at its relaxed geometry, as listed in the Alexandria database. Values from VASP.

Results
- Total moment: 0.62 Bohr magnetons per cell
- Energy relative to the elements: 3 kJ/mol of atoms

Cell and atoms, written as Quantum ESPRESSO input:
```
&SYSTEM
  ibrav = 0, nat = 18, ntyp = 3
/
ATOMIC_SPECIES
Cr 52.00 Cr.upf
Cu 63.55 Cu.upf
Ni 58.69 Ni.upf
ATOMIC_POSITIONS angstrom
Cr 1.331 1.331 0.000
Cr 2.435 5.097 1.749
Cr 5.097 2.435 1.749
Cr 6.202 6.202 0.000
Cu 0.000 0.000 1.749
Cu 3.766 3.766 0.000
Ni 0.021 2.480 1.749
Ni 1.238 6.295 0.000
Ni 1.286 3.788 0.000
Ni 2.480 0.021 1.749
Ni 2.528 2.528 1.749
Ni 3.745 6.247 0.000
Ni 3.788 1.286 0.000
Ni 5.005 5.005 1.749
Ni 5.052 7.512 1.749
Ni 6.247 3.745 0.000
Ni 6.295 1.238 0.000
Ni 7.512 5.052 1.749
CELL_PARAMETERS angstrom
7.533 0.000 0.000
0.000 7.533 0.000
0.000 0.000 3.498
```